PBE-GGA NaGdSnSb, relaxed; E_form (uncorrected) = -0.426 eV per atom; symmetry = F-43m
1.0
-4.027 -3.382 -1.100
-2.108 -3.028 3.905
-4.948 1.030 1.824
Gd Sb Sn Na
1 1 1 1
direct
0.000 0.000 0.000
0.750 0.750 0.750
0.250 0.250 0.250
0.500 0.500 0.500

***

PBE-GGA Tb3Pm6NdY2, relaxed; E_form = 0.012 eV/atom; symmetry = C2/m
1.0
-0.725 -0.663 6.196
5.757 0.097 -2.491
-1.313 11.887 0.060
Tb Pm Nd Y
3 6 1 2
direct
0.500 0.500 0.500
0.833 0.167 0.500
0.167 0.833 0.500
0.084 0.418 0.252
0.582 0.916 0.748
0.751 0.751 0.251
0.916 0.582 0.748
0.249 0.249 0.749
0.418 0.084 0.252
0.000 0.000 0.000
0.333 0.667 0.000
0.667 0.333 0.000

***

PBE-GGA TaCr2Ru2, relaxed; E_form = 0.128 eV/atom; symmetry = P4/mbm; offset from the most stable computed form = 35.3 meV/atom
1.0
-0.897 3.831 6.025
0.483 -6.026 3.903
2.722 0.340 0.189
Cr Ru Ta
4 4 2
direct
0.834 0.334 0.500
0.166 0.666 0.500
0.334 0.166 0.500
0.666 0.834 0.500
0.633 0.133 0.000
0.367 0.867 0.000
0.133 0.367 0.000
0.867 0.633 0.000
0.500 0.500 0.000
0.000 0.000 0.000

***

PBE-GGA FeSiAs2, relaxed; E_form (uncorrected) = 0.066 eV per atom; symmetry = Cm
1.0
-1.623 1.988 3.201
-3.715 1.059 1.383
-0.891 -5.207 3.684
Fe As Si
1 2 1
direct
0.503 0.503 0.428
0.786 0.786 0.644
0.979 0.979 0.109
0.231 0.231 0.318

***

PBE-GGA Y2NiCl, relaxed; E_form (uncorrected) = -0.811 eV per atom; symmetry = P4/mmm; offset from the most stable computed form = 99.4 meV/atom
1.0
3.915 0.001 0.000
-0.001 3.915 0.000
0.000 0.000 5.713
Cl Y Ni
1 2 1
direct
0.000 0.000 0.375
0.500 0.500 0.375
0.000 0.000 0.875
0.500 0.500 0.875

***

PBE-GGA La2TaAuN, relaxed; E_form (uncorrected) = -0.668 eV per atom; symmetry = P4/mmm
1.0
5.286 0.000 0.000
0.000 5.286 0.000
0.000 0.000 4.088
La N Ta Au
2 1 1 1
direct
0.000 0.500 0.000
0.500 0.000 0.000
0.000 0.000 0.000
0.000 0.000 0.500
0.500 0.500 0.500